No. 1
## BaTl2CuSn (PBE-GGA)

Data for BaTl2CuSn after structural relaxation.

```
BaTl2CuSn
1.0
5.3983 0.0000 0.0000
0.0000 5.3983 0.0000
0.0000 0.0000 5.2332
Ba Tl Cu Sn
1 2 1 1
direct
0.0000 0.0000 0.0000
0.0000 0.5000 0.5000
0.5000 0.0000 0.5000
0.5000 0.5000 0.5000
0.5000 0.5000 0.0000
```

***

No. 2
YVSCl2, optimized geometry, DFT PBE-GGA; formation energy without anion corrections = -4.3 eV per formula unit; E above lowest polymorph = 0 meV/atom
1.0
4.6684 0.0000 0.0000
0.0000 4.6684 0.0000
0.0000 0.0000 4.9022
Y V S Cl
1 1 1 2
direct
0.0000 0.0000 0.0000
0.5000 0.5000 0.5000
0.5000 0.5000 0.0000
0.0000 0.5000 0.5000
0.5000 0.0000 0.5000

***

No. 3
PuRe3Si3, optimized geometry, DFT PBE-GGA; formation energy without anion corrections = -1.5 eV per formula unit; E above lowest polymorph = 0 meV/atom
1.0
7.2405 0.0000 0.0000
0.0000 4.3506 0.0000
-1.8765 0.0000 7.3544
Pu Re Si
2 6 6
direct
0.1176 0.2500 0.3401
0.8824 0.7500 0.6599
0.2584 0.7500 0.0039
0.3090 0.2500 0.7732
0.4300 0.2500 0.1576
0.5700 0.7500 0.8424
0.6910 0.7500 0.2268
0.7416 0.2500 0.9961
0.0642 0.2500 0.9404
0.2651 0.7500 0.6060
0.4032 0.7500 0.3403
0.5968 0.2500 0.6597
0.7349 0.2500 0.3940
0.9358 0.7500 0.0596

***

No. 4
K2HgSbS4, optimized geometry, DFT PBE-GGA; formation energy without anion corrections = -4.4 eV per formula unit
1.0
7.4279 0.0000 0.0000
0.0000 7.4279 0.0000
0.0000 0.0000 9.1286
K Hg Sb S
4 2 2 8
direct
0.0000 0.0000 0.0000
0.0000 0.5000 0.2500
0.5000 0.0000 0.7500
0.5000 0.5000 0.5000
0.0000 0.0000 0.5000
0.5000 0.5000 0.0000
0.0000 0.5000 0.7500
0.5000 0.0000 0.2500
0.1772 0.2656 0.6145
0.2344 0.6772 0.8855
0.2656 0.8228 0.3855
0.3228 0.2344 0.1145
0.6772 0.7656 0.1145
0.7344 0.1772 0.3855
0.7656 0.3228 0.8855
0.8228 0.7344 0.6145

***

No. 5
## Be2CoB (PBE-GGA)

Data for Be2CoB after structural relaxation.

```
Be2CoB
1.0
3.9997 0.0000 0.0000
-1.9998 3.4638 0.0000
0.0000 0.0000 7.6182
Be Co B
6 3 3
direct
0.1517 0.3034 0.0000
0.1517 0.8483 0.3333
0.3034 0.1517 0.6667
0.6966 0.8483 0.6667
0.8483 0.1517 0.3333
0.8483 0.6966 0.0000
0.0000 0.5000 0.6667
0.5000 0.0000 0.0000
0.5000 0.5000 0.3333
0.0000 0.5000 0.1667
0.5000 0.0000 0.5000
0.5000 0.5000 0.8333
```

***

No. 6
Mg3TcIr, optimized geometry, DFT PBE-GGA; E above lowest polymorph = 0 meV/atom
1.0
4.8606 0.0000 0.0000
0.0000 4.8606 0.0000
0.0000 0.0000 4.8606
Mg Tc Ir
3 1 1
direct
0.0000 0.0000 0.5000
0.0000 0.5000 0.0000
0.5000 0.0000 0.0000
0.5000 0.5000 0.5000
0.0000 0.0000 0.0000

***

No. 7
PmThAu2, optimized geometry, DFT PBE-GGA; E above lowest polymorph = 151 meV/atom
1.0
4.0531 0.0000 0.0000
-2.0266 3.5101 0.0000
0.0000 0.0000 23.8395
Pm Th Au
3 3 6
direct
0.0000 0.0000 0.0000
0.3333 0.6667 0.6667
0.6667 0.3333 0.3333
0.0000 0.0000 0.5000
0.3333 0.6667 0.1667
0.6667 0.3333 0.8333
0.0000 0.0000 0.2485
0.0000 0.0000 0.7515
0.3333 0.6667 0.4181
0.3333 0.6667 0.9152
0.6667 0.3333 0.0848
0.6667 0.3333 0.5819

***

No. 8
MnAl2Se, optimized geometry, DFT PBE-GGA; formation energy without anion corrections = -0.2 eV per formula unit
1.0
2.8047 0.0000 0.0000
0.0000 4.2021 0.0000
0.0000 0.0000 11.4663
Mn Al Se
2 4 2
direct
0.0000 0.0000 0.0000
0.5000 0.5000 0.5000
0.0000 0.0000 0.4851
0.0000 0.5000 0.3181
0.5000 0.0000 0.8181
0.5000 0.5000 0.9851
0.0000 0.5000 0.6675
0.5000 0.0000 0.1675

***

No. 9
OsIN2, optimized geometry, DFT PBE-GGA; formation energy without anion corrections = 2.7 eV per formula unit; E above lowest polymorph = 0 meV/atom
1.0
0.0000 4.2387 4.2387
4.2387 0.0000 4.2387
4.2387 4.2387 0.0000
Os I N
2 2 4
direct
0.1250 0.1250 0.1250
0.8750 0.8750 0.8750
0.3750 0.3750 0.3750
0.6250 0.6250 0.6250
0.0000 0.0000 0.0000
0.0000 0.0000 0.5000
0.0000 0.5000 0.0000
0.5000 0.0000 0.0000

***

No. 10
YGa3B, optimized geometry, DFT PBE-GGA; E above lowest polymorph = 1435 meV/atom
1.0
5.5117 0.0000 0.0000
0.0000 5.5117 0.0000
0.0000 0.0000 5.5117
Y Ga B
1 3 1
direct
0.0000 0.0000 0.0000
0.0000 0.0000 0.5000
0.0000 0.5000 0.0000
0.5000 0.0000 0.0000
0.5000 0.5000 0.5000

***

No. 11
Sr3ReOs, optimized geometry, DFT PBE-GGA; E above lowest polymorph = 0 meV/atom
1.0
5.6639 0.0000 0.0000
0.0000 5.6639 0.0000
0.0000 0.0000 5.6639
Sr Re Os
3 1 1
direct
0.0000 0.0000 0.5000
0.0000 0.5000 0.0000
0.5000 0.0000 0.0000
0.5000 0.5000 0.5000
0.0000 0.0000 0.0000

***

No. 12
Pa2TeI7, optimized geometry, DFT PBE-GGA; formation energy without anion corrections = -7.3 eV per formula unit
1.0
6.9268 -8.1974 0.0000
6.9268 8.1974 0.0000
0.0000 0.0000 4.2355
Pa Te I
2 1 7
direct
0.1350 0.8650 0.0000
0.8650 0.1350 0.0000
0.0000 0.0000 0.5000
0.0793 0.3373 0.0000
0.2710 0.7290 0.5000
0.3373 0.0793 0.0000
0.5000 0.5000 0.0000
0.6627 0.9207 0.0000
0.7290 0.2710 0.5000
0.9207 0.6627 0.0000

***

No. 13
LaPrCo, optimized geometry, DFT PBE-GGA; E above lowest polymorph = 116 meV/atom
1.0
3.5197 0.0000 0.0000
0.0000 3.5197 0.0000
0.0000 0.0000 13.3776
La Pr Co
2 2 2
direct
0.0000 0.0000 0.0000
0.5000 0.5000 0.5000
0.0000 0.0000 0.7556
0.5000 0.5000 0.2556
0.0000 0.0000 0.3793
0.5000 0.5000 0.8793

***

No. 14
ZnAg3Au3, optimized geometry, DFT PBE-GGA; E above lowest polymorph = 113 meV/atom
1.0
3.4335 -6.6035 0.0000
3.4335 6.6035 0.0000
-1.2153 0.0000 6.1191
Zn Ag Au
2 6 6
direct
0.1723 0.1723 0.4617
0.8277 0.8277 0.5383
0.1610 0.1610 0.8811
0.2931 0.7069 0.5000
0.3357 0.6643 0.0000
0.6643 0.3357 0.0000
0.7069 0.2931 0.5000
0.8390 0.8390 0.1189
0.0098 0.6919 0.7989
0.3081 0.9902 0.2011
0.4774 0.4774 0.2700
0.5226 0.5226 0.7300
0.6919 0.0098 0.7989
0.9902 0.3081 0.2011

***

No. 15
YErTe, optimized geometry, DFT PBE-GGA; formation energy without anion corrections = -2.6 eV per formula unit; E above lowest polymorph = 0 meV/atom
1.0
8.2032 0.0000 0.0000
0.0000 3.9526 0.0000
0.0000 0.0000 10.5473
Y Er Te
4 4 4
direct
0.0033 0.2500 0.1613
0.4967 0.7500 0.6613
0.5033 0.2500 0.3387
0.9967 0.7500 0.8387
0.1550 0.2500 0.5553
0.3450 0.7500 0.0553
0.6550 0.2500 0.9447
0.8450 0.7500 0.4447
0.2042 0.7500 0.3312
0.2958 0.2500 0.8312
0.7042 0.7500 0.1688
0.7958 0.2500 0.6688

***

No. 16
Sc8Os2S, optimized geometry, DFT PBE-GGA; formation energy without anion corrections = -5.6 eV per formula unit
1.0
8.3496 -1.9437 0.0000
8.3496 1.9437 0.0000
-0.7177 0.0000 7.1686
Sc Os S
8 2 1
direct
0.9997 0.9997 0.2285
0.0003 0.0003 0.7715
0.2125 0.2125 0.3387
0.3405 0.3405 0.0097
0.3982 0.3982 0.4600
0.6018 0.6018 0.5400
0.6595 0.6595 0.9903
0.7875 0.7875 0.6613
0.1853 0.1853 0.7338
0.8147 0.8147 0.2662
0.5000 0.5000 0.0000

***

No. 17
BaFeH2Rh, optimized geometry, DFT PBE-GGA; E above lowest polymorph = 602 meV/atom
1.0
3.9833 0.0000 0.0000
0.0000 3.9833 0.0000
0.0000 0.0000 5.5830
Ba Fe H Rh
1 1 2 1
direct
0.0000 0.0000 0.0000
0.5000 0.5000 0.0000
0.0000 0.5000 0.5000
0.5000 0.0000 0.5000
0.0000 0.0000 0.5000

***

No. 18
NaTiO2, optimized geometry, DFT PBE-GGA; formation energy without anion corrections = -9.6 eV per formula unit
1.0
0.0000 4.4079 4.4079
4.4079 0.0000 4.4079
4.4079 4.4079 0.0000
Na Ti O
4 4 8
direct
0.0000 0.0000 0.0000
0.0000 0.0000 0.5000
0.0000 0.5000 0.0000
0.5000 0.0000 0.0000
0.0000 0.5000 0.5000
0.5000 0.0000 0.5000
0.5000 0.5000 0.0000
0.5000 0.5000 0.5000
0.2639 0.2639 0.2639
0.2639 0.2639 0.7082
0.2639 0.7082 0.2639
0.2918 0.7361 0.7361
0.7082 0.2639 0.2639
0.7361 0.2918 0.7361
0.7361 0.7361 0.2918
0.7361 0.7361 0.7361

***

No. 19
SiHCl, optimized geometry, DFT PBE-GGA; E above lowest polymorph = 502 meV/atom
1.0
8.5822 0.0000 0.0000
0.0000 3.2826 0.0000
-1.6081 0.0000 4.9637
Si H Cl
2 2 2
direct
0.0000 0.0000 0.0000
0.5000 0.5000 0.0000
0.3277 0.5000 0.0289
0.8277 0.0000 0.0289
0.4145 0.0000 0.6677
0.9145 0.5000 0.6677

***

No. 20
NbIrOF2, optimized geometry, DFT PBE-GGA; formation energy without anion corrections = -0.3 eV per formula unit; E above lowest polymorph = 672 meV/atom
1.0
4.5533 0.0000 0.0000
0.0000 4.5533 0.0000
0.0000 0.0000 3.7086
Nb Ir O F
1 1 1 2
direct
0.0000 0.0000 0.0000
0.5000 0.5000 0.5000
0.5000 0.5000 0.0000
0.0000 0.5000 0.5000
0.5000 0.0000 0.5000

***

Calculated values (eV/cell) of E_tot for the records, taken in order: -15.4 -27.7 -138.8 -55.1 -60.4 -20.2 -62.9 -40.8 -53.5 -14.3 -21.3 -40.3 -33.5 -38.3 -66.9 -82.8 -19.6 -115.0 -21.1 -27.9.